1.
# BaY2Ag

Crystalline BaY2Ag at its relaxed geometry (PBE, the Alexandria database).

Cell lengths 6.786, 6.786, 6.786 Å; angles 138.99, 138.99, 59.39 degrees
Fractional coordinates of all 4 atoms:
1 Ba 0.000 0.000 0.000
2 Y 0.250 0.750 0.500
3 Y 0.750 0.250 0.500
4 Ag 0.500 0.500 0.000

As for the space group: I4/mmm.

***

2.
# Ba2YAg

Crystalline Ba2YAg at its relaxed geometry (PBE, the Alexandria database).

Cell lengths 4.435, 5.766, 5.817 Å; angles 90.00, 90.00, 90.00 degrees
Fractional coordinates of all 4 atoms:
1 Ba 0.000 0.000 0.000
2 Ba 0.500 0.000 0.500
3 Y 0.000 0.500 0.500
4 Ag 0.500 0.500 0.000

As for the space group: Pmmm.

***

Number 1: electronic total energy -4.188 eV/atom, E_form 22.9 kJ/mol of atoms. Number 2: electronic total energy -3.063 eV/atom, E_form 21.9 kJ/mol of atoms.